No. 1
{
  "formula": "Ba6PS4",
  "functional": "PBE",
  "state": "optimized geometry",
  "e_form_raw_ev_per_atom": -1.702,
  "lattice_angstrom": [[4.542, 0.000, 0.000], [-2.271, 7.487, 0.000], [0.000, 0.000, 22.968]],
  "species": ["P", "P", "Ba", "Ba", "Ba", "Ba", "Ba", "Ba", "Ba", "Ba", "Ba", "Ba", "Ba", "Ba", "S", "S", "S", "S", "S", "S", "S", "S"],
  "fractional_positions": [[0.342, 0.685, 0.750], [0.658, 0.315, 0.250], [0.950, 0.900, 0.834], [0.688, 0.377, 0.750], [0.776, 0.552, 0.083], [0.224, 0.448, 0.917], [0.500, 0.000, 0.500], [0.224, 0.448, 0.583], [0.500, 0.000, 0.000], [0.312, 0.623, 0.250], [0.776, 0.552, 0.417], [0.950, 0.900, 0.666], [0.050, 0.100, 0.166], [0.050, 0.100, 0.334], [0.862, 0.724, 0.957], [0.592, 0.183, 0.627], [0.138, 0.276, 0.457], [0.592, 0.183, 0.873], [0.408, 0.817, 0.127], [0.138, 0.276, 0.043], [0.408, 0.817, 0.373], [0.862, 0.724, 0.543]]
}

No. 2
{
  "formula": "K2MgZrSn",
  "functional": "PBE",
  "state": "optimized geometry",
  "final_energy_ev_per_atom": -2.079,
  "lattice_angstrom": [[6.307, 0.000, 0.000], [0.000, 5.686, 0.000], [0.000, 0.000, 6.307]],
  "species": ["Zr", "K", "K", "Mg", "Sn"],
  "fractional_positions": [[0.000, 0.000, 0.000], [0.500, 0.000, 0.000], [0.000, 0.000, 0.500], [0.000, 0.500, 0.000], [0.500, 0.500, 0.500]]
}